# KRuSe2 | Alexandria via LeMat-Bulk | PBE-GGA | optimized geometry
data_KRuSe2
_cell_length_a 3.1158
_cell_length_b 3.1158
_cell_length_c 9.7269
_cell_angle_alpha 90.00
_cell_angle_beta 90.00
_cell_angle_gamma 90.00
_space_group_name_H-M_alt 'P 4 m m'
_space_group_IT_number 99
_space_group_name_Hall 'P 4 -2'
loop_
_atom_site_label
_atom_site_type_symbol
_atom_site_fract_x
_atom_site_fract_y
_atom_site_fract_z
K1 K 0.0000 0.0000 0.0000
Ru1 Ru 0.5000 0.5000 0.2913
Se1 Se 0.0000 0.0000 0.4052
Se2 Se 0.5000 0.5000 0.7519
# Formation energy (no corrections) (eV/atom): -0.033
# Calculated volume (Å³ per cell): 94.4
# Crystal system: tetragonal
# Calculated total energy (eV per cell): -17.47

# K5SrCl7 | Alexandria via LeMat-Bulk | PBE-GGA | optimized geometry
data_K5SrCl7
_cell_length_a 15.0581
_cell_length_b 4.2527
_cell_length_c 26.0978
_cell_angle_alpha 90.00
_cell_angle_beta 90.11
_cell_angle_gamma 90.00
_space_group_name_H-M_alt 'C 1 m 1'
_space_group_IT_number 8
_space_group_name_Hall 'C -2y'
loop_
_atom_site_label
_atom_site_type_symbol
_atom_site_fract_x
_atom_site_fract_y
_atom_site_fract_z
K1 K 0.0000 0.0000 0.0000
K2 K 0.0003 0.0000 0.1999
K3 K 0.1742 0.0000 0.7769
K4 K 0.1756 0.0000 0.4226
K5 K 0.2321 0.5000 0.9227
K6 K 0.2328 0.5000 0.2770
K7 K 0.4064 0.5000 0.6997
K8 K 0.4080 0.5000 0.4998
K9 K 0.4530 0.0000 0.8501
K10 K 0.4543 0.0000 0.3500
Sr1 Sr 0.1611 0.5000 0.5989
Sr2 Sr 0.2462 0.0000 0.0999
Cl1 Cl 0.0274 0.0000 0.5999
Cl2 Cl 0.0396 0.5000 0.7378
Cl3 Cl 0.0423 0.5000 0.4632
Cl4 Cl 0.0900 0.0000 0.8891
Cl5 Cl 0.0907 0.0000 0.3107
Cl6 Cl 0.1550 0.5000 0.0341
Cl7 Cl 0.1553 0.5000 0.1657
Cl8 Cl 0.2515 0.0000 0.6654
Cl9 Cl 0.2529 0.0000 0.5338
Cl10 Cl 0.3163 0.5000 0.8107
Cl11 Cl 0.3176 0.5000 0.3891
Cl12 Cl 0.3661 0.0000 0.9626
Cl13 Cl 0.3667 0.0000 0.2373
Cl14 Cl 0.3799 0.5000 0.0999
# Formation energy (no corrections) (eV/atom): -2.054
# Calculated volume (Å³ per cell): 1671.2
# Crystal system: monoclinic
# Calculated total energy (eV per cell): -187.19

# La6TlSb | Alexandria via LeMat-Bulk | PBE-GGA | optimized geometry
data_La6TlSb
_cell_length_a 5.0440
_cell_length_b 5.0440
_cell_length_c 10.0359
_cell_angle_alpha 90.00
_cell_angle_beta 90.00
_cell_angle_gamma 90.00
_space_group_name_H-M_alt 'P 4/m m m'
_space_group_IT_number 123
_space_group_name_Hall '-P 4 2'
loop_
_atom_site_label
_atom_site_type_symbol
_atom_site_fract_x
_atom_site_fract_y
_atom_site_fract_z
La1 La 0.0000 0.0000 0.0000
La2 La 0.0000 0.0000 0.5000
La3 La 0.0000 0.5000 0.2444
Tl1 Tl 0.5000 0.5000 0.5000
Sb1 Sb 0.5000 0.5000 0.0000
# Formation energy (no corrections) (eV/atom): -0.436
# Calculated volume (Å³ per cell): 255.3
# Crystal system: tetragonal
# Calculated total energy (eV per cell): -39.54

# PrEr5In3 | Alexandria via LeMat-Bulk | PBE-GGA | optimized geometry
data_PrEr5In3
_cell_length_a 8.4760
_cell_length_b 8.4760
_cell_length_c 14.2833
_cell_angle_alpha 90.00
_cell_angle_beta 90.00
_cell_angle_gamma 90.00
_space_group_name_H-M_alt 'I 4/m c m'
_space_group_IT_number 140
_space_group_name_Hall '-I 4 2c'
loop_
_atom_site_label
_atom_site_type_symbol
_atom_site_fract_x
_atom_site_fract_y
_atom_site_fract_z
Pr1 Pr 0.0000 0.5000 0.2500
Er1 Er 0.0000 0.0000 0.0000
Er2 Er 0.2084 0.2916 0.1340
In1 In 0.0000 0.0000 0.2500
In2 In 0.1115 0.3885 0.5000
# Calculated volume (Å³ per cell): 1026.1
# Crystal system: tetragonal
# Calculated total energy (eV per cell): -145.90